No. 1
Compound: LaCu2BF
Source: the Alexandria database
Functional: PBE
Structure: optimized geometry

Its total energy is -18.66 eV per cell. For the formation energy (no corrections), the calculation gives 602.0 meV per atom. As for the total magnetization: 0.5 μB per cell.

Cell lengths 5.4683, 5.4683, 4.4386 Å; angles 90.00, 90.00, 90.00 degrees
Space group P4/mmm (No. 123)
Symmetry-distinct sites (fractional):
La  0.0000  0.0000  0.0000 x1
Cu  0.0000  0.5000  0.0000 x2
B  0.5000  0.5000  0.5000 x1
F  0.0000  0.0000  0.5000 x1

---

No. 2
Compound: Na3InC
Source: the Alexandria database
Functional: PBE
Structure: optimized geometry

Its total energy is -11.86 eV per cell. As for the total magnetization: 0.2 μB per cell.

Cell lengths 4.9986, 4.9986, 4.9986 Å; angles 90.00, 90.00, 90.00 degrees
Space group Pm-3m (No. 221)
Symmetry-distinct sites (fractional):
Na  0.0000  0.0000  0.5000 x3
In  0.5000  0.5000  0.5000 x1
C  0.0000  0.0000  0.0000 x1

---

No. 3
Compound: Ga2CuAs
Source: the Alexandria database
Functional: PBE
Structure: optimized geometry

Its total energy is -56.84 eV per cell. As for the total magnetization: 0.0 μB per cell.

Cell lengths 6.1600, 6.1600, 9.3560 Å; angles 90.00, 90.00, 90.00 degrees
Space group I-42d (No. 122)
Symmetry-distinct sites (fractional):
Ga  0.2436  0.2500  0.1250 x8
Cu  0.0000  0.0000  0.0000 x4
As  0.0000  0.0000  0.5000 x4

---

No. 4
Compound: Ba4Hg5Pt2
Source: the Alexandria database
Functional: PBE
Structure: optimized geometry

Its total energy is -27.54 eV per cell. As for the total magnetization: 0.0 μB per cell.

Cell lengths 8.1649, 4.5179, 9.9344 Å; angles 90.00, 90.56, 90.00 degrees
Space group P2/m (No. 10)
Symmetry-distinct sites (fractional):
Ba  0.2105  0.0000  0.1545 x2
Ba  0.2266  0.0000  0.5979 x2
Hg  0.1289  0.5000  0.8735 x2
Hg  0.4241  0.5000  0.3579 x2
Hg  0.5000  0.5000  0.0000 x1
Pt  0.0690  0.5000  0.3725 x2